VASP calculation (PBE-GGA) on TmSbRh after structural relaxation.

```
data_TmSbRh
_cell_length_a 7.075
_cell_length_b 4.545
_cell_length_c 7.797
_cell_angle_alpha 90.00
_cell_angle_beta 90.00
_cell_angle_gamma 90.00
_symmetry_space_group_name_H-M 'P n m a'
_symmetry_Int_Tables_number 62
loop_
_symmetry_equiv_pos_as_xyz
'x,y,z'
'-x,-y,-z'
'-x+1/2,-y,z+1/2'
'x+1/2,y,-z+1/2'
'x+1/2,-y+1/2,-z+1/2'
'-x+1/2,y+1/2,z+1/2'
'-x,y+1/2,-z'
'x,-y+1/2,z'
loop_
_atom_site_label
_atom_site_type_symbol
_atom_site_fract_x
_atom_site_fract_y
_atom_site_fract_z
_atom_site_occupancy
Tm1 Tm 0.009 0.250 0.201 1
Sb1 Sb 0.194 0.250 0.592 1
Rh1 Rh 0.199 0.750 0.419 1
```

Computed properties:
Formation energy from raw total energies, eV per atom: -0.987



VASP calculation (PBE-GGA) on TmSbRh4 after structural relaxation.

```
data_TmSbRh4
_cell_length_a 7.476
_cell_length_b 7.476
_cell_length_c 7.476
_cell_angle_alpha 90.00
_cell_angle_beta 90.00
_cell_angle_gamma 90.00
_symmetry_space_group_name_H-M 'F -4 3 m'
_symmetry_Int_Tables_number 216
_symmetry_space_group_name_Hall 'F -4 2 3'
loop_
_atom_site_label
_atom_site_type_symbol
_atom_site_fract_x
_atom_site_fract_y
_atom_site_fract_z
_atom_site_occupancy
Tm1 Tm 0.000 0.000 0.000 1
Sb1 Sb 0.250 0.250 0.250 1
Rh1 Rh 0.124 0.124 0.624 1
```

Computed properties:
Formation energy from raw total energies, eV per atom: -0.419
Energy above the lowest structure with this stoichiometry, meV/atom: 0



VASP calculation (PBE-GGA) on TmSb2Rh4 after structural relaxation.

```
data_TmSb2Rh4
_cell_length_a 7.944
_cell_length_b 7.944
_cell_length_c 4.100
_cell_angle_alpha 90.00
_cell_angle_beta 90.00
_cell_angle_gamma 90.00
_symmetry_space_group_name_H-M 'P 42/m n m'
_symmetry_Int_Tables_number 136
_symmetry_space_group_name_Hall '-P 4n 2n'
loop_
_atom_site_label
_atom_site_type_symbol
_atom_site_fract_x
_atom_site_fract_y
_atom_site_fract_z
_atom_site_occupancy
Tm1 Tm 0.000 0.000 0.000 1
Sb1 Sb 0.225 0.225 0.500 1
Rh1 Rh 0.080 0.659 0.500 1
```

Computed properties:
Formation energy from raw total energies, eV per atom: -0.535



VASP calculation (PBE-GGA) on Tm5Sb2Rh after structural relaxation.

```
data_Tm5Sb2Rh
_cell_length_a 7.824
_cell_length_b 12.091
_cell_length_c 4.430
_cell_angle_alpha 90.00
_cell_angle_beta 90.00
_cell_angle_gamma 90.00
_symmetry_space_group_name_H-M 'P b a m'
_symmetry_Int_Tables_number 55
loop_
_symmetry_equiv_pos_as_xyz
'x,y,z'
'-x,-y,-z'
'-x,-y,z'
'x,y,-z'
'x+1/2,-y+1/2,-z'
'-x+1/2,y+1/2,z'
'-x+1/2,y+1/2,-z'
'x+1/2,-y+1/2,z'
loop_
_atom_site_label
_atom_site_type_symbol
_atom_site_fract_x
_atom_site_fract_y
_atom_site_fract_z
_atom_site_occupancy
Tm1 Tm 0.000 0.000 0.000 1
Tm2 Tm 0.149 0.300 0.000 1
Tm3 Tm 0.182 0.567 0.500 1
Sb1 Sb 0.064 0.827 0.500 1
Rh1 Rh 0.000 0.500 0.000 1
```

Computed properties:
Formation energy from raw total energies, eV per atom: -0.841
Energy above the lowest structure with this stoichiometry, meV/atom: 0



VASP calculation (PBE-GGA) on Tm3SbRh after structural relaxation.

```
data_Tm3SbRh
_cell_length_a 7.887
_cell_length_b 4.246
_cell_length_c 8.225
_cell_angle_alpha 90.00
_cell_angle_beta 110.69
_cell_angle_gamma 90.00
_symmetry_space_group_name_H-M 'P 1 21/m 1'
_symmetry_Int_Tables_number 11
loop_
_symmetry_equiv_pos_as_xyz
'x,y,z'
'-x,-y,-z'
'-x,y+1/2,-z'
'x,-y+1/2,z'
loop_
_atom_site_label
_atom_site_type_symbol
_atom_site_fract_x
_atom_site_fract_y
_atom_site_fract_z
_atom_site_occupancy
Tm1 Tm 0.054 0.250 0.246 1
Tm2 Tm 0.324 0.750 0.595 1
Tm3 Tm 0.327 0.250 0.931 1
Sb1 Sb 0.349 0.750 0.217 1
Rh1 Rh 0.082 0.250 0.609 1
```

Computed properties:
Formation energy from raw total energies, eV per atom: -0.806



VASP calculation (PBE-GGA) on TmSb2Rh5 after structural relaxation.

```
data_TmSb2Rh5
_cell_length_a 3.809
_cell_length_b 7.199
_cell_length_c 10.666
_cell_angle_alpha 90.00
_cell_angle_beta 90.00
_cell_angle_gamma 90.00
_symmetry_space_group_name_H-M 'I m m m'
_symmetry_Int_Tables_number 71
_symmetry_space_group_name_Hall '-I 2 2'
loop_
_atom_site_label
_atom_site_type_symbol
_atom_site_fract_x
_atom_site_fract_y
_atom_site_fract_z
_atom_site_occupancy
Tm1 Tm 0.000 0.000 0.000 1
Sb1 Sb 0.000 0.500 0.244 1
Rh1 Rh 0.000 0.202 0.369 1
Rh2 Rh 0.000 0.500 0.000 1
```

Computed properties:
Formation energy from raw total energies, eV per atom: -0.451



VASP calculation (PBE-GGA) on Tm8Sb2Rh after structural relaxation.

```
data_Tm8Sb2Rh
_cell_length_a 18.454
_cell_length_b 4.577
_cell_length_c 7.164
_cell_angle_alpha 90.00
_cell_angle_beta 96.74
_cell_angle_gamma 90.00
_symmetry_space_group_name_H-M 'C 1 2/m 1'
_symmetry_Int_Tables_number 12
loop_
_symmetry_equiv_pos_as_xyz
'x,y,z'
'-x,-y,-z'
'-x,y,-z'
'x,-y,z'
'x+1/2,y+1/2,z'
'-x+1/2,-y+1/2,-z'
'-x+1/2,y+1/2,-z'
'x+1/2,-y+1/2,z'
loop_
_atom_site_label
_atom_site_type_symbol
_atom_site_fract_x
_atom_site_fract_y
_atom_site_fract_z
_atom_site_occupancy
Tm1 Tm 0.000 0.000 0.229 1
Tm2 Tm 0.095 0.500 0.518 1
Tm3 Tm 0.143 0.500 0.039 1
Tm4 Tm 0.215 0.000 0.350 1
Sb1 Sb 0.182 0.000 0.776 1
Rh1 Rh 0.000 0.500 0.000 1
```

Computed properties:
Formation energy from raw total energies, eV per atom: -0.525



VASP calculation (PBE-GGA) on Tm7Sb2Rh2 after structural relaxation.

```
data_Tm7Sb2Rh2
_cell_length_a 3.967
_cell_length_b 15.543
_cell_length_c 9.223
_cell_angle_alpha 90.00
_cell_angle_beta 90.00
_cell_angle_gamma 90.00
_symmetry_space_group_name_H-M 'I m m 2'
_symmetry_Int_Tables_number 44
loop_
_symmetry_equiv_pos_as_xyz
'x,y,z'
'-x,-y,z'
'-x,y,z'
'x,-y,z'
'x+1/2,y+1/2,z+1/2'
'-x+1/2,-y+1/2,z+1/2'
'-x+1/2,y+1/2,z+1/2'
'x+1/2,-y+1/2,z+1/2'
loop_
_atom_site_label
_atom_site_type_symbol
_atom_site_fract_x
_atom_site_fract_y
_atom_site_fract_z
_atom_site_occupancy
Tm1 Tm 0.000 0.000 0.000 1
Tm2 Tm 0.000 0.127 0.587 1
Tm3 Tm 0.000 0.315 0.377 1
Tm4 Tm 0.000 0.354 0.744 1
Sb1 Sb 0.000 0.000 0.333 1
Sb2 Sb 0.000 0.500 0.244 1
Rh1 Rh 0.000 0.240 0.070 1
```

Computed properties:
Formation energy from raw total energies, eV per atom: -0.762
Energy above the lowest structure with this stoichiometry, meV/atom: 0